[1]
Below is a geometry-optimized Ta2NbCl structure, with properties calculated at the PBE-GGA level.

Lattice parameters (Å, degrees): 3.902 3.902 19.970 90.00 90.00 90.00
Space group I-42d (No. 122)
Inequivalent atoms, fractional coordinates:
Ta (0.244, 0.250, 0.125) [8 per cell]
Nb (0.000, 0.000, 0.000) [4 per cell]
Cl (0.000, 0.000, 0.500) [4 per cell]

As for the density of states at the Fermi level: 20.5 states/eV/cell. As for the formation energy from raw total energies: 0.8220 eV/atom. The volume is 304.1 Å³/cell. The calculation puts the offset from the most stable computed form at 0.044 eV/atom.

[2]
Below is a geometry-optimized Ta3NbCl structure, with properties calculated at the PBE-GGA level.

Lattice parameters (Å, degrees): 4.968 4.968 4.968 90.00 90.00 90.00
Space group Pm-3m (No. 221)
Inequivalent atoms, fractional coordinates:
Ta (0.000, 0.000, 0.500) [3 per cell]
Nb (0.000, 0.000, 0.000) [1 per cell]
Cl (0.500, 0.500, 0.500) [1 per cell]

As for the density of states at the Fermi level: 10.6 states/eV/cell. As for the formation energy from raw total energies: 1.8238 eV/atom. The volume is 122.6 Å³/cell. The calculation puts the offset from the most stable computed form at 0.999 eV/atom.

[3]
Below is a geometry-optimized TaNbCl2 structure, with properties calculated at the PBE-GGA level.

Lattice parameters (Å, degrees): 5.946 5.946 9.228 90.00 90.00 90.00
Space group I-42d (No. 122)
Inequivalent atoms, fractional coordinates:
Ta (0.000, 0.000, 0.000) [4 per cell]
Nb (0.000, 0.000, 0.500) [4 per cell]
Cl (0.247, 0.250, 0.125) [8 per cell]

As for the density of states at the Fermi level: 10.9 states/eV/cell. As for the formation energy from raw total energies: 0.7685 eV/atom. The volume is 326.3 Å³/cell. The calculation puts the offset from the most stable computed form at 0.904 eV/atom.